CsPtO2: relaxed, PBE.

a b c (Å): 7.357 3.216 14.752
angles (deg): 90.00 90.00 90.00
Atoms (fractional coordinates):
Cs 0.181 0.250 0.125
Cs 0.319 0.750 0.625
Cs 0.681 0.250 0.375
Cs 0.819 0.750 0.875
Pt 0.183 0.750 0.385
Pt 0.317 0.250 0.885
Pt 0.683 0.750 0.115
Pt 0.817 0.250 0.615
O 0.080 0.250 0.321
O 0.214 0.750 0.949
O 0.286 0.250 0.449
O 0.420 0.750 0.821
O 0.580 0.250 0.179
O 0.714 0.750 0.551
O 0.786 0.250 0.051
O 0.920 0.750 0.679

Calculated values
- SG = Pnma, No. 62
- total DFT energy (no corrections) (eV/atom) = -5.02
- V (Å³ per cell) = 349
- ΔE_f (raw) (eV per atom) = -0.82

Cs2PtO: relaxed, PBE.

a b c (Å): 9.093 9.093 9.093
angles (deg): 92.73 92.73 154.80
Atoms (fractional coordinates):
Cs 0.375 0.120 0.245
Cs 0.870 0.625 0.745
Cs 0.875 0.130 0.755
Cs 0.880 0.125 0.255
Pt 0.250 0.750 0.500
Pt 0.500 0.500 0.000
O 0.000 0.000 0.000
O 0.750 0.250 0.500

Calculated values
- SG = I-42d, No. 122
- total DFT energy (no corrections) (eV/atom) = -3.75
- V (Å³ per cell) = 312
- ΔE_f (raw) (eV per atom) = -0.58